Here is crystalline MgInNiPt at its relaxed geometry from Alexandria. Energies are from PBE.

Cell lengths 4.499, 4.499, 4.499 Å; angles 60.00, 60.00, 60.00 degrees
Fractional positions:
1 Ni 0.000 0.000 0.000
2 Mg 0.250 0.250 0.250
3 Pt 0.500 0.500 0.500
4 In 0.750 0.750 0.750

Output
symmetry	F-43m (216)

***

Here is crystalline MgInNiPt at its relaxed geometry from Alexandria. Energies are from PBE.

Cell lengths 4.206, 4.206, 4.689 Å; angles 116.64, 116.65, 90.00 degrees
Fractional positions:
1 Mg 0.250 0.750 0.500
2 In 0.750 0.250 0.500
3 Ni 0.000 0.000 0.000
4 Pt 0.500 0.500 0.000

Output
symmetry	I-4m2 (119)

***

Number 1: total energy -4.4854 eV per atom, energy of formation -0.447 eV per atom, spin magnetization 0.00 μB per cell. Number 2: total energy -4.4867 eV per atom, energy of formation -0.448 eV per atom, spin magnetization 0.00 μB per cell.